(1)
! CdSnRhAu, optimized geometry, DFT GGA-PBE; values from VASP
&SYSTEM
  ibrav = 0, nat = 4, ntyp = 4
/
ATOMIC_SPECIES
Rh 102.91 Rh.upf
Au 196.97 Au.upf
Sn 118.71 Sn.upf
Cd 112.41 Cd.upf
ATOMIC_POSITIONS angstrom
Rh -2.713 -3.251 -3.930
Au 0.000 0.000 0.000
Sn -1.356 -1.626 -1.965
Cd -4.069 -4.877 -5.894
CELL_PARAMETERS angstrom
-0.375 -0.969 -4.601
-0.854 -4.417 -1.418
-4.197 -1.116 -1.841
! Space-group type = No. 216
! Energy relative to the elements = -0.120 eV per atom
! Calculated volume = 74 Å³/cell


(2)
! PrMgCdSn, optimized geometry, DFT GGA-PBE; values from VASP
&SYSTEM
  ibrav = 0, nat = 4, ntyp = 4
/
ATOMIC_SPECIES
Pr 140.91 Pr.upf
Mg 24.30 Mg.upf
Sn 118.71 Sn.upf
Cd 112.41 Cd.upf
ATOMIC_POSITIONS angstrom
Pr 5.284 3.051 2.157
Mg 0.000 0.000 0.000
Sn 2.642 1.525 1.079
Cd 7.926 4.576 3.236
CELL_PARAMETERS angstrom
5.284 0.000 0.000
2.642 4.576 0.000
2.642 1.525 4.314
! Space-group type = No. 216
! Energy above the lowest structure with this stoichiometry = 125 meV/atom
! Energy relative to the elements = -0.333 eV per atom
! Calculated volume = 104 Å³/cell


(3)
! Tb2SmAg, optimized geometry, DFT GGA-PBE; values from VASP
&SYSTEM
  ibrav = 0, nat = 4, ntyp = 3
/
ATOMIC_SPECIES
Tb 158.93 Tb.upf
Ag 107.87 Ag.upf
Sm 150.36 Sm.upf
ATOMIC_POSITIONS angstrom
Tb -1.294 2.369 1.584
Tb -3.775 8.265 4.835
Ag 0.000 0.000 0.000
Sm -2.535 5.317 3.209
CELL_PARAMETERS angstrom
-3.479 0.261 0.824
-1.046 -0.150 3.425
-0.544 10.523 2.170
! Space-group type = No. 166
! Energy above the lowest structure with this stoichiometry = 113 meV/atom
! Energy relative to the elements = -0.017 eV per atom
! Calculated volume = 117 Å³/cell


(4)
! CaNdRh4, optimized geometry, DFT GGA-PBE; values from VASP
&SYSTEM
  ibrav = 0, nat = 6, ntyp = 3
/
ATOMIC_SPECIES
Rh 102.91 Rh.upf
Ca 40.08 Ca.upf
Nd 144.24 Nd.upf
ATOMIC_POSITIONS angstrom
Rh -2.996 -4.626 -2.937
Rh -4.137 -4.653 -0.494
Rh -4.056 -6.908 -1.969
Rh -1.789 -5.916 -0.900
Ca 0.000 0.000 0.000
Nd -1.622 -2.763 -0.788
CELL_PARAMETERS angstrom
-4.530 -1.984 -2.137
0.160 -4.507 -2.947
-2.119 -4.560 1.934
! Space-group type = No. 216
! Energy relative to the elements = -0.563 eV per atom
! Calculated volume = 111 Å³/cell


(5)
! GdHfNi2, optimized geometry, DFT GGA-PBE; values from VASP
&SYSTEM
  ibrav = 0, nat = 4, ntyp = 3
/
ATOMIC_SPECIES
Ni 58.69 Ni.upf
Gd 157.25 Gd.upf
Hf 178.49 Hf.upf
ATOMIC_POSITIONS angstrom
Ni -0.499 -2.801 0.153
Ni -1.496 -8.402 0.459
Gd 0.000 0.000 0.000
Hf -0.997 -5.601 0.306
CELL_PARAMETERS angstrom
-3.101 -3.359 -0.862
1.444 -4.197 -1.394
-0.337 -3.647 2.869
! Space-group type = No. 225
! Energy above the lowest structure with this stoichiometry = 110 meV/atom
! Energy relative to the elements = -0.290 eV per atom
! Calculated volume = 71 Å³/cell


(6)
! Re3SiSb, optimized geometry, DFT GGA-PBE; values from VASP
&SYSTEM
  ibrav = 0, nat = 5, ntyp = 3
/
ATOMIC_SPECIES
Re 186.21 Re.upf
Si 28.09 Si.upf
Sb 121.76 Sb.upf
ATOMIC_POSITIONS angstrom
Re 0.000 2.247 0.000
Re 0.000 0.000 2.247
Re 2.247 0.000 0.000
Si 0.000 0.000 0.000
Sb 2.247 2.247 2.247
CELL_PARAMETERS angstrom
4.494 0.000 0.000
0.000 4.494 0.000
0.000 0.000 4.494
! Space-group type = No. 221
! Energy above the lowest structure with this stoichiometry = 0 meV/atom
! Calculated volume = 91 Å³/cell


The records above give, respectively, density of states at the Fermi level values of 2.842; 3.576; 4.776; 3.878; 3.282; 3.666 states/eV/f.u..